(1)
DFT (PBE-GGA) results for a relaxed structure of YNb2PdO.

## Properties
formation energy without anion corrections = -435 kJ/mol of formula units
crystal system = tetragonal

a = 4.208 Å, b = 4.208 Å, c = 4.843 Å
α = 90.00°, β = 90.00°, γ = 90.00°
Space group P4/mmm (No. 123)
Symmetry-distinct sites (fractional):
1 Y 0.000 0.000 0.000 [1 per cell]
2 Nb 0.000 0.500 0.500 [2 per cell]
3 Pd 0.500 0.500 0.000 [1 per cell]
4 O 0.000 0.000 0.500 [1 per cell]


(2)
DFT (PBE-GGA) results for a relaxed structure of PmNbO3.

## Properties
formation energy without anion corrections = -1287 kJ/mol of formula units
crystal system = monoclinic

a = 5.759 Å, b = 4.169 Å, c = 6.399 Å
α = 90.00°, β = 104.80°, γ = 90.00°
Space group P2_1/m (No. 11)
Symmetry-distinct sites (fractional):
1 Pm 0.007 0.250 0.246 [2 per cell]
2 Nb 0.494 0.750 0.354 [2 per cell]
3 O 0.158 0.250 0.654 [2 per cell]
4 O 0.185 0.750 0.118 [2 per cell]
5 O 0.474 0.250 0.306 [2 per cell]


(3)
DFT (PBE-GGA) results for a relaxed structure of Pm5Nb2O12.

## Properties
formation energy without anion corrections = -5852 kJ/mol of formula units
crystal system = monoclinic

a = 12.760 Å, b = 6.032 Å, c = 7.676 Å
α = 90.00°, β = 107.51°, γ = 90.00°
Space group C2/m (No. 12)
Symmetry-distinct sites (fractional):
1 Pm 0.000 0.000 0.000 [2 per cell]
2 Pm 0.192 0.500 0.328 [4 per cell]
3 Pm 0.196 0.500 0.862 [4 per cell]
4 Nb 0.000 0.240 0.500 [4 per cell]
5 O 0.001 0.000 0.690 [4 per cell]
6 O 0.001 0.500 0.312 [4 per cell]
7 O 0.155 0.250 0.076 [8 per cell]
8 O 0.162 0.265 0.582 [8 per cell]


(4)
DFT (PBE-GGA) results for a relaxed structure of PmNb2O6.

## Properties
formation energy without anion corrections = -2370 kJ/mol of formula units
crystal system = monoclinic

a = 11.355 Å, b = 3.874 Å, c = 7.595 Å
α = 90.00°, β = 101.64°, γ = 90.00°
Space group C2/m (No. 12)
Symmetry-distinct sites (fractional):
1 Pm 0.000 0.000 0.000 [2 per cell]
2 Nb 0.249 0.000 0.680 [4 per cell]
3 O 0.110 0.500 0.130 [4 per cell]
4 O 0.115 0.000 0.777 [4 per cell]
5 O 0.225 0.000 0.392 [4 per cell]


Which formula does entry 1 have? YNb2PdO


What is the formation energy without anion corrections in the first record? -435 kJ/mol of formula units


The highest formation energy without anion corrections belongs to which entry? YNb2PdO


What is the formula in the second record? PmNbO3